The following is a DFT calculation (PBE-GGA) of a relaxed structure of KYCd2.

Results
D(E_F) = 3.06 states/eV/cell
Space-group type = Pmm2 (25)
Energy above the most stable polymorph in this dataset = 0.044 eV per atom

POSCAR file:
```
KYCd2
1.0
3.6135 0.0000 0.0000
0.0000 5.7137 0.0000
0.0000 0.0000 5.7140
K Y Cd
1 1 2
Cartesian
0.0000 0.0000 0.0000
0.0000 2.8568 2.8475
1.8067 0.0000 2.8580
1.8067 2.8568 5.7021
```